[1]
# Sc3TlO PBE relaxed
# Density in Mg/m³: 5.3
# Crystal system: orthorhombic
# Fermi-level density of states in states/eV/f.u.: 5.54
# ΔE_f (raw) in meV per atom: -1112
data_Sc3TlO
_space_group_name_H-M_alt 'C m c m'
_space_group_IT_number 63
_space_group_name_Hall '-C 2c 2'
_cell_length_a 6.4521
_cell_length_b 10.4806
_cell_length_c 6.5823
_cell_angle_alpha 90.00
_cell_angle_beta 90.00
_cell_angle_gamma 90.00
loop_
_atom_site_label
_atom_site_type_symbol
_atom_site_fract_x
_atom_site_fract_y
_atom_site_fract_z
_atom_site_occupancy
Sc1 Sc 0.0000 0.0000 0.0000 1
Sc2 Sc 0.2480 0.2653 0.2500 1
Tl1 Tl 0.0000 0.4777 0.7500 1
O1 O 0.0000 0.1190 0.7500 1

=====

[2]
# Mg2Bi3Pb2 PBE relaxed
# Density in Mg/m³: 8.2
# Crystal system: triclinic
# Fermi-level density of states in states/eV/f.u.: 2.30
# Formation energy in meV per atom: -56.8
data_Mg2Bi3Pb2
_space_group_name_H-M_alt 'P -1'
_space_group_IT_number 2
_cell_length_a 4.7554
_cell_length_b 7.0962
_cell_length_c 7.1427
_cell_angle_alpha 76.03
_cell_angle_beta 89.95
_cell_angle_gamma 70.62
loop_
_space_group_symop_operation_xyz
'x,y,z'
'-x,-y,-z'
loop_
_atom_site_label
_atom_site_type_symbol
_atom_site_fract_x
_atom_site_fract_y
_atom_site_fract_z
_atom_site_occupancy
Mg1 Mg 0.1519 0.1937 0.4400 1
Bi1 Bi 0.3272 0.8488 0.8090 1
Bi2 Bi 0.5000 0.5000 0.5000 1
Pb1 Pb 0.0887 0.3191 0.8651 1